{"formula": "Ba2VF", "functional": "PBE+U", "state": "optimized geometry", "relative_energy_mev_per_atom": 0, "dos_ef_per_ev_cell": 14.84, "total_energy_ev_per_atom": -3.9786, "cell": [[8.206, 0.000, 0.000], [0.000, 8.206, 0.000], [0.000, 0.000, 8.940]], "species": ["Ba", "Ba", "Ba", "Ba", "Ba", "Ba", "Ba", "Ba", "V", "V", "V", "V", "F", "F", "F", "F"], "fractional_positions": [[0.154, 0.250, 0.125], [0.250, 0.654, 0.375], [0.250, 0.846, 0.875], [0.346, 0.250, 0.625], [0.654, 0.750, 0.625], [0.750, 0.154, 0.875], [0.750, 0.346, 0.375], [0.846, 0.750, 0.125], [0.000, 0.000, 0.500], [0.000, 0.500, 0.750], [0.500, 0.000, 0.250], [0.500, 0.500, 0.000], [0.000, 0.000, 0.000], [0.000, 0.500, 0.250], [0.500, 0.000, 0.750], [0.500, 0.500, 0.500]]}